# 1
First-principles (PBE-GGA) data for a relaxed CsNd3F10 crystal, as listed in the Alexandria database.

Calculated values
ΔE_f (raw): -3.94 eV per atom
total moment: 0.49 Bohr magnetons per cell
E_tot: -0.234 Ha/atom

Unit cell a=8.660 b=8.660 c=8.660 alpha=60.00 beta=60.00 gamma=60.00
Fractional coordinates of all 28 atoms:
Cs (0.250, 0.250, 0.250)
Cs (0.750, 0.750, 0.750)
Nd (0.240, 0.240, 0.760)
Nd (0.240, 0.760, 0.240)
Nd (0.240, 0.760, 0.760)
Nd (0.760, 0.240, 0.240)
Nd (0.760, 0.240, 0.760)
Nd (0.760, 0.760, 0.240)
F (0.109, 0.109, 0.109)
F (0.109, 0.109, 0.672)
F (0.109, 0.672, 0.109)
F (0.172, 0.500, 0.500)
F (0.172, 0.500, 0.828)
F (0.172, 0.828, 0.500)
F (0.328, 0.891, 0.891)
F (0.500, 0.172, 0.500)
F (0.500, 0.172, 0.828)
F (0.500, 0.500, 0.172)
F (0.500, 0.500, 0.828)
F (0.500, 0.828, 0.172)
F (0.500, 0.828, 0.500)
F (0.672, 0.109, 0.109)
F (0.828, 0.172, 0.500)
F (0.828, 0.500, 0.172)
F (0.828, 0.500, 0.500)
F (0.891, 0.328, 0.891)
F (0.891, 0.891, 0.328)
F (0.891, 0.891, 0.891)

# 2
First-principles (PBE-GGA) data for a relaxed CsNdF4 crystal, as listed in the Alexandria database.

Calculated values
ΔE_f (raw): -3.65 eV per atom
total moment: 0.14 Bohr magnetons per cell
E_tot: -0.214 Ha/atom

Unit cell a=6.558 b=3.833 c=17.066 alpha=90.00 beta=90.00 gamma=90.00
Fractional coordinates of all 24 atoms:
Cs (0.228, 0.250, 0.198)
Cs (0.272, 0.750, 0.698)
Cs (0.728, 0.250, 0.302)
Cs (0.772, 0.750, 0.802)
Nd (0.248, 0.750, 0.447)
Nd (0.252, 0.250, 0.947)
Nd (0.748, 0.750, 0.053)
Nd (0.752, 0.250, 0.553)
F (0.003, 0.750, 0.949)
F (0.107, 0.250, 0.824)
F (0.117, 0.250, 0.380)
F (0.128, 0.250, 0.536)
F (0.372, 0.750, 0.036)
F (0.383, 0.750, 0.880)
F (0.393, 0.750, 0.324)
F (0.497, 0.250, 0.449)
F (0.503, 0.750, 0.551)
F (0.607, 0.250, 0.676)
F (0.617, 0.250, 0.120)
F (0.628, 0.250, 0.964)
F (0.872, 0.750, 0.464)
F (0.883, 0.750, 0.620)
F (0.893, 0.750, 0.176)
F (0.997, 0.250, 0.051)

# 3
First-principles (PBE-GGA) data for a relaxed CsNdF4 crystal, as listed in the Alexandria database.

Calculated values
ΔE_f (raw): -3.64 eV per atom
total moment: 0.00 Bohr magnetons per cell
E_tot: -0.214 Ha/atom

Unit cell a=4.060 b=4.060 c=7.058 alpha=90.00 beta=90.00 gamma=90.00
Fractional coordinates of all 6 atoms:
Cs (0.000, 0.000, 0.000)
Nd (0.500, 0.500, 0.500)
F (0.000, 0.500, 0.314)
F (0.000, 0.500, 0.686)
F (0.500, 0.000, 0.314)
F (0.500, 0.000, 0.686)